No. 1
Compound: La2Cr2Ge
Source: Alexandria via LeMat-Bulk
Functional: PBE
Structure: optimized geometry

Cell: 6.7853 6.7853 4.6740 Å, 90.00 90.00 90.00°
Last column: nearest neighbours and their distance in Å.
Fractional positions:
1 La 0.1902 0.6902 0.5000  6 Cr 3.07-3.12, 4 Ge 3.40
2 Ge 0.5000 0.5000 0.0000  4 Cr 2.78
3 La 0.3098 0.1902 0.5000  6 Cr 3.07-3.12, 4 Ge 3.40
4 Ge 0.0000 0.0000 0.0000  4 Cr 2.78
5 Cr 0.1027 0.3973 0.0000  1 Cr 1.97
6 Cr 0.3973 0.8973 0.0000  1 Cr 1.97
7 Cr 0.6027 0.1027 0.0000  1 Cr 1.97
8 La 0.6902 0.8098 0.5000  6 Cr 3.07-3.12, 4 Ge 3.40
9 La 0.8098 0.3098 0.5000  6 Cr 3.07-3.12, 4 Ge 3.40
10 Cr 0.8973 0.6027 0.0000  1 Cr 1.97

Results
VASP energy ... -66.442 eV for the cell shown
E_form ... 0.0996 eV per atom

---

No. 2
Compound: Y3Sb
Source: Alexandria via LeMat-Bulk
Functional: PBE
Structure: optimized geometry

Cell: 9.9648 9.9648 9.9648 Å, 23.09 23.09 23.09°
Last column: nearest neighbours and their distance in Å.
Fractional positions:
1 Y 0.2667 0.2667 0.2667  3 Sb 3.01
2 Sb 0.0000 0.0000 0.0000  6 Y 3.01
3 Y 0.7333 0.7333 0.7333  3 Sb 3.01
4 Y 0.5000 0.5000 0.5000  12 Y 3.71-3.99

Results
Energy relative to the elements, uncorrected ... -0.3268 eV per atom
VASP energy ... -24.822 eV for the cell shown